(1)
# Hf2CdNi (PBE-GGA, optimized geometry)
data_Hf2CdNi
_cell_length_a 4.132
_cell_length_b 4.132
_cell_length_c 19.350
_cell_angle_alpha 90.00
_cell_angle_beta 90.00
_cell_angle_gamma 90.00
_space_group_name_H-M_alt 'I -4 2 d'
_space_group_IT_number 122
_space_group_name_Hall 'I -4 2bw'
loop_
_atom_site_label
_atom_site_type_symbol
_atom_site_fract_x
_atom_site_fract_y
_atom_site_fract_z
Hf1 Hf 0.241 0.250 0.125
Cd1 Cd 0.000 0.000 0.500
Ni1 Ni 0.000 0.000 0.000
# Energy of formation from the pure elements ... 524 meV per atom
# Raw total energy ... -98.0 eV for the cell shown
# E above lowest polymorph ... 0.6825 eV/atom

---

(2)
# HfCdNi3 (PBE-GGA, optimized geometry)
data_HfCdNi3
_cell_length_a 4.550
_cell_length_b 4.550
_cell_length_c 4.550
_cell_angle_alpha 90.00
_cell_angle_beta 90.00
_cell_angle_gamma 90.00
_space_group_name_H-M_alt 'P m -3 m'
_space_group_IT_number 221
_space_group_name_Hall '-P 4 2 3'
loop_
_atom_site_label
_atom_site_type_symbol
_atom_site_fract_x
_atom_site_fract_y
_atom_site_fract_z
Hf1 Hf 0.000 0.000 0.000
Cd1 Cd 0.500 0.500 0.500
Ni1 Ni 0.000 0.500 0.500
# Energy of formation from the pure elements ... 1054 meV per atom
# Raw total energy ... -22.9 eV for the cell shown
# E above lowest polymorph ... 0.1362 eV/atom

---

(3)
# HfCd3Ni (PBE-GGA, optimized geometry)
data_HfCd3Ni
_cell_length_a 4.794
_cell_length_b 4.794
_cell_length_c 4.794
_cell_angle_alpha 90.00
_cell_angle_beta 90.00
_cell_angle_gamma 90.00
_space_group_name_H-M_alt 'P m -3 m'
_space_group_IT_number 221
_space_group_name_Hall '-P 4 2 3'
loop_
_atom_site_label
_atom_site_type_symbol
_atom_site_fract_x
_atom_site_fract_y
_atom_site_fract_z
Hf1 Hf 0.000 0.000 0.000
Cd1 Cd 0.000 0.500 0.500
Ni1 Ni 0.500 0.500 0.500
# Energy of formation from the pure elements ... 514 meV per atom
# Raw total energy ... -15.9 eV for the cell shown
# E above lowest polymorph ... 0.0000 eV/atom

---

(4)
# HfCd3Ni (PBE-GGA, optimized geometry)
data_HfCd3Ni
_cell_length_a 5.520
_cell_length_b 5.520
_cell_length_c 5.520
_cell_angle_alpha 90.00
_cell_angle_beta 90.00
_cell_angle_gamma 90.00
_space_group_name_H-M_alt 'P m -3 m'
_space_group_IT_number 221
_space_group_name_Hall '-P 4 2 3'
loop_
_atom_site_label
_atom_site_type_symbol
_atom_site_fract_x
_atom_site_fract_y
_atom_site_fract_z
Hf1 Hf 0.000 0.000 0.000
Cd1 Cd 0.000 0.000 0.500
Ni1 Ni 0.500 0.500 0.500
# Energy of formation from the pure elements ... 1474 meV per atom
# Raw total energy ... -11.1 eV for the cell shown
# E above lowest polymorph ... 0.9598 eV/atom

---

(5)
# Hf2CdNi (PBE-GGA, optimized geometry)
data_Hf2CdNi
_cell_length_a 3.0540
_cell_length_b 3.0540
_cell_length_c 30.6202
_cell_angle_alpha 90.00
_cell_angle_beta 90.00
_cell_angle_gamma 120.00
_space_group_name_H-M_alt 'R -3 m'
_space_group_IT_number 166
_space_group_name_Hall '-R 3 2"'
loop_
_atom_site_label
_atom_site_type_symbol
_atom_site_fract_x
_atom_site_fract_y
_atom_site_fract_z
Hf1 Hf 0.0000 0.0000 0.1007
Cd1 Cd 0.0000 0.0000 0.0000
Ni1 Ni 0.0000 0.0000 0.5000
# Energy of formation from the pure elements ... 248 meV per atom
# Raw total energy ... -76.8 eV for the cell shown
# E above lowest polymorph ... 0.4065 eV/atom

---

(6)
# Hf2CdNi (PBE-GGA, optimized geometry)
data_Hf2CdNi
_cell_length_a 3.054
_cell_length_b 3.054
_cell_length_c 8.031
_cell_angle_alpha 90.00
_cell_angle_beta 90.00
_cell_angle_gamma 90.00
_space_group_name_H-M_alt 'P 4/m m m'
_space_group_IT_number 123
_space_group_name_Hall '-P 4 2'
loop_
_atom_site_label
_atom_site_type_symbol
_atom_site_fract_x
_atom_site_fract_y
_atom_site_fract_z
Hf1 Hf 0.000 0.000 0.211
Cd1 Cd 0.500 0.500 0.500
Ni1 Ni 0.500 0.500 0.000
# Energy of formation from the pure elements ... -159 meV per atom
# Raw total energy ... -27.2 eV for the cell shown
# E above lowest polymorph ... 0.0000 eV/atom

---

(7)
# HfCd2ReNi (PBE-GGA, optimized geometry)
data_HfCd2ReNi
_cell_length_a 5.088
_cell_length_b 5.088
_cell_length_c 4.435
_cell_angle_alpha 90.00
_cell_angle_beta 90.00
_cell_angle_gamma 90.00
_space_group_name_H-M_alt 'P 4/m m m'
_space_group_IT_number 123
_space_group_name_Hall '-P 4 2'
loop_
_atom_site_label
_atom_site_type_symbol
_atom_site_fract_x
_atom_site_fract_y
_atom_site_fract_z
Hf1 Hf 0.000 0.000 0.000
Cd1 Cd 0.000 0.500 0.500
Re1 Re 0.500 0.500 0.500
Ni1 Ni 0.500 0.500 0.000
# Energy of formation from the pure elements ... 1310 meV per atom
# Raw total energy ... -23.5 eV for the cell shown

---

(8)
# HfCdNiS2 (PBE-GGA, optimized geometry)
data_HfCdNiS2
_cell_length_a 4.830
_cell_length_b 4.830
_cell_length_c 5.807
_cell_angle_alpha 90.00
_cell_angle_beta 90.00
_cell_angle_gamma 90.00
_space_group_name_H-M_alt 'P 4/m m m'
_space_group_IT_number 123
_space_group_name_Hall '-P 4 2'
loop_
_atom_site_label
_atom_site_type_symbol
_atom_site_fract_x
_atom_site_fract_y
_atom_site_fract_z
Hf1 Hf 0.000 0.000 0.000
Cd1 Cd 0.000 0.000 0.500
Ni1 Ni 0.500 0.500 0.500
S1 S 0.000 0.500 0.000
# Raw total energy ... -23.4 eV for the cell shown
# Uncorrected formation energy ... 303 meV per atom

---

(9)
# Hf2CdNiSe (PBE-GGA, optimized geometry)
data_Hf2CdNiSe
_cell_length_a 5.227
_cell_length_b 5.227
_cell_length_c 4.965
_cell_angle_alpha 90.00
_cell_angle_beta 90.00
_cell_angle_gamma 90.00
_space_group_name_H-M_alt 'P 4/m m m'
_space_group_IT_number 123
_space_group_name_Hall '-P 4 2'
loop_
_atom_site_label
_atom_site_type_symbol
_atom_site_fract_x
_atom_site_fract_y
_atom_site_fract_z
Hf1 Hf 0.000 0.500 0.000
Cd1 Cd 0.000 0.000 0.000
Ni1 Ni 0.500 0.500 0.500
Se1 Se 0.000 0.000 0.500
# Raw total energy ... -22.3 eV for the cell shown
# Uncorrected formation energy ... 1564 meV per atom

---

(10)
# HfCdNi2Se (PBE-GGA, optimized geometry)
data_HfCdNi2Se
_cell_length_a 4.740
_cell_length_b 4.740
_cell_length_c 5.030
_cell_angle_alpha 90.00
_cell_angle_beta 90.00
_cell_angle_gamma 90.00
_space_group_name_H-M_alt 'P 4/m m m'
_space_group_IT_number 123
_space_group_name_Hall '-P 4 2'
loop_
_atom_site_label
_atom_site_type_symbol
_atom_site_fract_x
_atom_site_fract_y
_atom_site_fract_z
Hf1 Hf 0.000 0.000 0.000
Cd1 Cd 0.500 0.500 0.500
Ni1 Ni 0.000 0.500 0.000
Se1 Se 0.000 0.000 0.500
# Raw total energy ... -23.0 eV for the cell shown
# Uncorrected formation energy ... 579 meV per atom

---

(11)
# YHf2CdNi (PBE-GGA, optimized geometry)
data_YHf2CdNi
_cell_length_a 5.147
_cell_length_b 5.147
_cell_length_c 5.501
_cell_angle_alpha 90.00
_cell_angle_beta 90.00
_cell_angle_gamma 90.00
_space_group_name_H-M_alt 'P 4/m m m'
_space_group_IT_number 123
_space_group_name_Hall '-P 4 2'
loop_
_atom_site_label
_atom_site_type_symbol
_atom_site_fract_x
_atom_site_fract_y
_atom_site_fract_z
Y1 Y 0.000 0.000 0.000
Hf1 Hf 0.000 0.500 0.500
Cd1 Cd 0.000 0.000 0.500
Ni1 Ni 0.500 0.500 0.000
# Energy of formation from the pure elements ... 1385 meV per atom
# Raw total energy ... -26.1 eV for the cell shown

---

(12)
# HfNpCd (PBE-GGA, optimized geometry)
data_HfNpCd
_cell_length_a 3.4634
_cell_length_b 3.4634
_cell_length_c 40.1026
_cell_angle_alpha 90.00
_cell_angle_beta 90.00
_cell_angle_gamma 120.00
_space_group_name_H-M_alt 'R -3 m'
_space_group_IT_number 166
_space_group_name_Hall '-R 3 2"'
loop_
_atom_site_label
_atom_site_type_symbol
_atom_site_fract_x
_atom_site_fract_y
_atom_site_fract_z
Hf1 Hf 0.0000 0.0000 0.0888
Np1 Np 0.0000 0.0000 0.1831
Cd1 Cd 0.0000 0.0000 0.3624
# Energy of formation from the pure elements ... 181 meV per atom
# Raw total energy ... -139.6 eV for the cell shown

---

Q: What is the formula in the third record?
A: HfCd3Ni

---

Q: Which of these has the highest raw total energy?
A: number 4

---

What did the twelfth record say?
# HfNpCd (PBE-GGA, optimized geometry)
data_HfNpCd
_cell_length_a 3.4634
_cell_length_b 3.4634
_cell_length_c 40.1026
_cell_angle_alpha 90.00
_cell_angle_beta 90.00
_cell_angle_gamma 120.00
_space_group_name_H-M_alt 'R -3 m'
_space_group_IT_number 166
_space_group_name_Hall '-R 3 2"'
loop_
_atom_site_label
_atom_site_type_symbol
_atom_site_fract_x
_atom_site_fract_y
_atom_site_fract_z
Hf1 Hf 0.0000 0.0000 0.0888
Np1 Np 0.0000 0.0000 0.1831
Cd1 Cd 0.0000 0.0000 0.3624
# Energy of formation from the pure elements ... 181 meV per atom
# Raw total energy ... -139.6 eV for the cell shown